Arrangement a

A relaxed CdNF3 crystal, computed with PBE.

Results
theoretical density	4.99	g/cm3

Geometry as POSCAR:
```
CdNF3
1.0
3.937 0.000 0.000
0.000 3.937 0.000
0.000 0.000 3.937
N F Cd
1 3 1
direct
0.000 0.000 0.000 N
0.000 0.500 0.000 F
0.000 0.000 0.500 F
0.500 0.000 0.000 F
0.500 0.500 0.500 Cd
```

=====

Arrangement b

A relaxed CdNF3 crystal, computed with PBE.

Results
theoretical density	3.66	g/cm3

Geometry as POSCAR:
```
CdNF3
1.0
-3.985 -3.472 -3.050
4.171 -0.477 -4.905
3.339 -6.917 3.512
Cd N F
4 4 12
direct
0.500 0.500 0.000 Cd
0.000 0.000 0.500 Cd
0.500 0.500 0.500 Cd
0.000 0.000 0.000 Cd
0.627 0.864 0.250 N
0.873 0.364 0.250 N
0.373 0.136 0.750 N
0.127 0.636 0.750 N
0.666 0.824 0.045 F
0.834 0.324 0.455 F
0.334 0.176 0.545 F
0.166 0.676 0.955 F
0.334 0.176 0.955 F
0.166 0.676 0.545 F
0.666 0.824 0.455 F
0.834 0.324 0.045 F
0.428 0.475 0.250 F
0.072 0.975 0.250 F
0.572 0.525 0.750 F
0.928 0.025 0.750 F
```

=====

Referenced to the most stable arrangement, the calculated values in eV/atom are arrangement a 0.532; arrangement b 0.000.

=====

Arrangement a

A relaxed CdNF2 crystal, computed with PBE.

Results
theoretical density	2.79	g/cm3

Geometry as POSCAR:
```
CdNF2
1.0
-5.142 4.444 4.638
-1.770 5.141 6.176
-2.879 7.049 3.118
N F Cd
1 2 1
direct
0.500 0.500 0.500 N
0.919 0.919 0.919 F
0.081 0.081 0.081 F
0.000 0.000 0.000 Cd
```

=====

Arrangement b

A relaxed CdNF2 crystal, computed with PBE.

Results
theoretical density	5.61	g/cm3

Geometry as POSCAR:
```
CdNF2
1.0
0.000 2.898 2.898
2.898 0.000 2.898
2.898 2.898 0.000
N F Cd
1 2 1
direct
0.000 0.000 0.000 N
0.250 0.250 0.250 F
0.750 0.750 0.750 F
0.500 0.500 0.500 Cd
```

=====

Arrangement c

A relaxed CdNF2 crystal, computed with PBE.

Results
theoretical density	5.39	g/cm3

Geometry as POSCAR:
```
CdNF2
1.0
-0.216 2.630 -2.647
-0.641 -2.638 -2.569
-7.561 0.589 -1.437
N F Cd
2 4 2
direct
0.500 0.500 0.000 N
0.250 0.750 0.500 N
0.608 0.125 0.250 F
0.142 0.625 0.250 F
0.375 0.392 0.750 F
0.875 0.858 0.750 F
0.000 0.000 0.000 Cd
0.750 0.250 0.500 Cd
```

=====

Referenced to the most stable arrangement, the calculated values in eV/atom are arrangement a 0.483; arrangement b 0.000; arrangement c 0.233.

=====

Arrangement a

A relaxed NaCdN2F crystal, computed with PBE.

Results
theoretical density	3.44	g/cm3

Geometry as POSCAR:
```
NaCdN2F
1.0
-1.496 -3.334 2.326
2.701 -2.668 -2.086
3.291 0.791 3.250
Na N F Cd
1 2 1 1
direct
0.500 0.500 0.500 Na
0.000 0.500 0.000 N
0.500 0.000 0.000 N
0.000 0.000 0.500 F
0.000 0.000 0.000 Cd
```

=====

Arrangement b

A relaxed NaCdN2F crystal, computed with PBE.

Results
theoretical density	3.84	g/cm3

Geometry as POSCAR:
```
NaCdN2F
1.0
4.444 0.000 0.000
0.000 4.444 0.000
0.000 0.000 3.995
Na N F Cd
1 2 1 1
direct
0.000 0.000 0.000 Na
0.000 0.500 0.000 N
0.500 0.000 0.000 N
0.000 0.000 0.500 F
0.500 0.500 0.500 Cd
```

=====

Referenced to the most stable arrangement, the calculated values in eV/atom are arrangement a 0.000; arrangement b 0.449.